Here is a relaxed structure of Cd4CuAs from the Alexandria database. Energies are from PBE.

Computed properties:
total DFT energy (no corrections)	-40.5	eV for the cell shown
calculated volume	21.80	Å³/atom

Cell: 8.0580 8.0580 8.0580 Å, 90.00 90.00 90.00°
Space group F-43m (No. 216)
Asymmetric unit:
Cd1 0.1247 0.1247 0.1247 (multiplicity 16)
Cu1 0.2500 0.2500 0.7500 (multiplicity 4)
As1 0.0000 0.0000 0.5000 (multiplicity 4)

***

Here is a relaxed structure of La2Pm2Nd2In from the Alexandria database. Energies are from PBE.

Computed properties:
total DFT energy (no corrections)	-64.0	eV for the cell shown
calculated volume	33.69	Å³/atom

Cell: 11.8199 3.5950 11.8221 Å, 90.00 110.15 90.00°
Space group C2/m (No. 12)
Asymmetric unit:
La1 0.2393 0.0000 0.3657 (multiplicity 4)
Pm1 0.0471 0.5000 0.7549 (multiplicity 4)
Nd1 0.1650 0.5000 0.0757 (multiplicity 4)
In1 0.0000 0.0000 0.5000 (multiplicity 2)

***

Here is a relaxed structure of MgCd2AsCl from the Alexandria database. Energies are from PBE.

Computed properties:
formation energy (no corrections)	0.47	eV per atom
calculated volume	28.64	Å³/atom

Cell: 5.3283 5.3283 5.0446 Å, 90.00 90.00 90.00°
Space group P4/mmm (No. 123)
Asymmetric unit:
Mg1 0.0000 0.0000 0.0000 (multiplicity 1)
Cd1 0.0000 0.5000 0.5000 (multiplicity 2)
As1 0.5000 0.5000 0.0000 (multiplicity 1)
Cl1 0.5000 0.5000 0.5000 (multiplicity 1)

***

Here is a relaxed structure of ZrPa2Mn from the Alexandria database. Energies are from PBE.

Computed properties:
energy above the most stable polymorph in this dataset	0.2817	eV/atom
calculated volume	22.32	Å³/atom

Cell: 3.5262 3.5262 24.8751 Å, 90.00 90.00 120.00°
Space group R-3m (No. 166, hexagonal axes)
Asymmetric unit:
Zr1 0.0000 0.0000 0.0000 (multiplicity 3)
Pa1 0.0000 0.0000 0.2304 (multiplicity 6)
Mn1 0.0000 0.0000 0.5000 (multiplicity 3)

***

Here is a relaxed structure of ScAu3 from the Alexandria database. Energies are from PBE.

Computed properties:
total DFT energy (no corrections)	-52.6	eV for the cell shown
calculated volume	20.66	Å³/atom

Cell: 3.4516 3.4516 24.0254 Å, 90.00 90.00 120.00°
Space group R-3m (No. 166, hexagonal axes)
Asymmetric unit:
Sc1 0.0000 0.0000 0.0000 (multiplicity 3)
Au1 0.0000 0.0000 0.2533 (multiplicity 6)
Au2 0.0000 0.0000 0.5000 (multiplicity 3)

***

Here is a relaxed structure of Ta2InRe from the Alexandria database. Energies are from PBE.

Computed properties:
total DFT energy (no corrections)	-37.5	eV for the cell shown
calculated volume	18.17	Å³/atom

Cell: 2.8563 2.8563 8.9096 Å, 90.00 90.00 90.00°
Space group P4mm (No. 99)
Asymmetric unit:
Ta1 0.0000 0.0000 0.0000 (multiplicity 1)
Ta2 0.5000 0.5000 0.2566 (multiplicity 1)
In1 0.0000 0.0000 0.5222 (multiplicity 1)
Re1 0.5000 0.5000 0.7658 (multiplicity 1)